A plane-wave DFT calculation with PBE was carried out for a geometry-optimized NaSrPrAg structure.

a b c (Å): 7.983 7.983 7.983
angles (deg): 90.00 90.00 90.00
Space group F-43m (No. 216)
One atom of each set of equivalent atoms:
Na  0.000  0.000  0.000 x4
Sr  0.250  0.250  0.250 x4
Pr  0.250  0.250  0.750 x4
Ag  0.000  0.000  0.500 x4

Values from the calculation:
Energy of formation from the pure elements, meV per atom: 45
Uncorrected energy, eV per cell: -41.8